An optimized crystal structure of NiAgSb2I. Source: Alexandria, functional PBE-GGA.

Cell lengths 4.9155, 4.9155, 5.6754 Å; angles 90.00, 90.00, 90.00 degrees
Atoms (fractional coordinates):
I 0.0000 0.0000 0.5000
Sb 0.0000 0.5000 0.0000
Sb 0.5000 0.0000 0.0000
Ag 0.5000 0.5000 0.5000
Ni 0.0000 0.0000 0.0000

V ... 137 Å³/cell
Uncorrected formation energy ... 0.45 eV per atom
DFT total energy ... -16.2 eV for the cell shown
Total moment ... 0.0 Bohr magnetons per cell
Relative energy among the computed polymorphs ... 0 meV/atom

An optimized crystal structure of NiAgSb2I. Source: Alexandria, functional PBE-GGA.

Cell lengths 5.3263, 5.3263, 5.6426 Å; angles 90.00, 90.00, 90.00 degrees
Atoms (fractional coordinates):
I 0.0000 0.0000 0.5000
Sb 0.0000 0.5000 0.0000
Sb 0.5000 0.0000 0.0000
Ag 0.0000 0.0000 0.0000
Ni 0.5000 0.5000 0.5000

V ... 160 Å³/cell
Uncorrected formation energy ... 1.12 eV per atom
DFT total energy ... -12.8 eV for the cell shown
Total moment ... 0.3 Bohr magnetons per cell
Relative energy among the computed polymorphs ... 675 meV/atom

An optimized crystal structure of NiAgSbI2. Source: Alexandria, functional PBE-GGA.

Cell lengths 5.5219, 5.5219, 4.7941 Å; angles 90.00, 90.00, 90.00 degrees
Atoms (fractional coordinates):
I 0.0000 0.5000 0.0000
I 0.5000 0.0000 0.0000
Sb 0.0000 0.0000 0.5000
Ag 0.5000 0.5000 0.5000
Ni 0.0000 0.0000 0.0000

V ... 146 Å³/cell
Uncorrected formation energy ... 0.38 eV per atom
DFT total energy ... -14.0 eV for the cell shown
Total moment ... 0.0 Bohr magnetons per cell

An optimized crystal structure of Ni2AgSeI. Source: Alexandria, functional PBE-GGA.

Cell lengths 4.5890, 5.8821, 4.5890 Å; angles 90.00, 90.00, 90.00 degrees
Atoms (fractional coordinates):
I 0.0000 0.0000 0.0000
Ni 0.0000 0.0000 0.5000
Ni 0.5000 0.0000 0.0000
Se 0.0000 0.5000 0.0000
Ag 0.5000 0.5000 0.5000

V ... 124 Å³/cell
Uncorrected formation energy ... 0.98 eV per atom
DFT total energy ... -14.5 eV for the cell shown
Total moment ... 0.0 Bohr magnetons per cell

An optimized crystal structure of NiAgSe2I. Source: Alexandria, functional PBE-GGA.

Cell lengths 5.0123, 5.8198, 5.0123 Å; angles 90.00, 90.00, 90.00 degrees
Atoms (fractional coordinates):
I 0.0000 0.5000 0.0000
Ni 0.5000 0.5000 0.5000
Se 0.0000 0.0000 0.5000
Se 0.5000 0.0000 0.0000
Ag 0.0000 0.0000 0.0000

V ... 146 Å³/cell
Uncorrected formation energy ... 1.00 eV per atom
DFT total energy ... -12.2 eV for the cell shown
Total moment ... 2.2 Bohr magnetons per cell

An optimized crystal structure of SrNiAgI2. Source: Alexandria, functional PBE-GGA.

Cell lengths 5.6151, 6.1731, 5.6151 Å; angles 90.00, 90.00, 90.00 degrees
Atoms (fractional coordinates):
I 0.0000 0.0000 0.5000
I 0.5000 0.0000 0.0000
Sr 0.0000 0.5000 0.0000
Ag 0.0000 0.0000 0.0000
Ni 0.5000 0.5000 0.5000

V ... 195 Å³/cell
Uncorrected formation energy ... 0.38 eV per atom
DFT total energy ... -11.5 eV for the cell shown
Total moment ... 1.2 Bohr magnetons per cell

An optimized crystal structure of SrNiAg2I. Source: Alexandria, functional PBE-GGA.

Cell lengths 4.9427, 5.7427, 4.9427 Å; angles 90.00, 90.00, 90.00 degrees
Atoms (fractional coordinates):
I 0.5000 0.5000 0.5000
Sr 0.0000 0.5000 0.0000
Ag 0.0000 0.0000 0.5000
Ag 0.5000 0.0000 0.0000
Ni 0.0000 0.0000 0.0000

V ... 140 Å³/cell
Uncorrected formation energy ... 0.00 eV per atom
DFT total energy ... -14.7 eV for the cell shown
Total moment ... 0.0 Bohr magnetons per cell

An optimized crystal structure of NiAgTeI2. Source: Alexandria, functional PBE-GGA.

Cell lengths 5.4478, 5.4478, 4.9639 Å; angles 90.00, 90.00, 90.00 degrees
Atoms (fractional coordinates):
I 0.0000 0.5000 0.0000
I 0.5000 0.0000 0.0000
Ni 0.0000 0.0000 0.0000
Te 0.0000 0.0000 0.5000
Ag 0.5000 0.5000 0.5000

V ... 147 Å³/cell
Uncorrected formation energy ... 0.35 eV per atom
DFT total energy ... -13.1 eV for the cell shown
Total moment ... 0.6 Bohr magnetons per cell
Relative energy among the computed polymorphs ... 0 meV/atom